## Th4SiBi2C (PBE)

Data for a geometry-optimized Th4SiBi2C structure.

Lattice parameters (Å, degrees): 4.083 7.322 7.916 106.83 90.00 90.00
Positions (direct):
1 Th 0.000 0.292 0.810
2 Th 0.500 0.744 0.796
3 Th 0.000 0.708 0.190
4 Th 0.500 0.256 0.204
5 C 0.500 0.500 0.000
6 Bi 0.500 0.000 0.500
7 Bi 0.000 0.500 0.500
8 Si 0.000 0.000 0.000

Results
E_tot	-56.1	eV per cell
magnetic moment	0.00	μB/f.u.
formation energy without anion corrections	-47.9	kJ per mole of atoms